No. 1
DFT (PBE) results for a relaxed structure of Rb4CdIn4.

```
Rb4CdIn4
1.0
-6.756 0.177 -3.068
-0.297 -1.387 9.551
-1.535 6.224 3.739
Rb Cd In
4 1 4
Direct
0.197 0.762 0.435 Rb
0.565 0.762 0.803 Rb
0.435 0.238 0.565 Rb
0.803 0.238 0.197 Rb
0.000 0.000 0.000 Cd
0.305 0.305 0.000 In
0.000 0.305 0.695 In
0.000 0.695 0.000 In
0.695 0.695 0.305 In
```

Results
ΔE_f in eV/atom: 0.13
Crystal system: tetragonal
E_tot in Ha/atom: -0.0594

=====

No. 2
DFT (PBE) results for a relaxed structure of RbCdIn2.

```
RbCdIn2
1.0
4.961 0.000 0.000
2.481 4.297 0.000
2.481 1.432 6.978
Rb Cd In
1 1 2
Direct
0.496 0.496 0.513 Rb
0.676 0.676 0.971 Cd
0.040 0.040 0.879 In
0.288 0.288 0.137 In
```

Results
ΔE_f in eV/atom: -0.04
Crystal system: trigonal
E_tot in Ha/atom: -0.0692